# 1
VASP calculation (PBE) on a relaxed structure of La2HSe.

Computed properties:
**Energy**: -5.155 eV/atom
**Calculated volume**: 23.9 A^3/atom
**Total magnetic moment**: 0.00 μB/f.u.

abc: 7.5685 7.5685 7.5685
angles: 29.92 29.92 29.92
Fractional positions:
La (0.0000, 0.0000, 0.0000)
La (0.1543, 0.1543, 0.1543)
H (0.4056, 0.4056, 0.4056)
Se (0.5775, 0.5775, 0.5775)

=====

# 2
VASP calculation (PBE) on a relaxed structure of LaH2Se.

Computed properties:
**Energy**: -4.287 eV/atom
**Calculated volume**: 17.5 A^3/atom
**Total magnetic moment**: 0.00 μB/f.u.

abc: 8.0752 8.0752 8.0752
angles: 148.93 148.93 44.52
Fractional positions:
La (0.0000, 0.0000, 0.0000)
La (0.7500, 0.2500, 0.5000)
H (0.0628, 0.6250, 0.9378)
H (0.3750, 0.3128, 0.4378)
H (0.6872, 0.1250, 0.0622)
H (0.8750, 0.9372, 0.5622)
Se (0.2500, 0.7500, 0.5000)
Se (0.5000, 0.5000, 0.0000)